Entry from Alexandria via LeMat-Bulk: InRu3S after structural relaxation (GGA-PBE).

E above lowest polymorph in eV/atom: 0.000
Formation energy (no corrections) in meV per atom: 254
Electronic total energy in eV/atom: -6.685

Unit cell a=4.362 b=4.362 c=4.362 alpha=90.00 beta=90.00 gamma=90.00
Atoms (fractional coordinates):
S (0.000, 0.000, 0.000)
Ru (0.500, 0.000, 0.000)
In (0.500, 0.500, 0.500)
Ru (0.000, 0.000, 0.500)
Ru (0.000, 0.500, 0.000)

Entry from Alexandria via LeMat-Bulk: YZr2PbF after structural relaxation (GGA-PBE).

Formation energy (no corrections) in meV per atom: 946
Electronic total energy in eV/atom: -4.882

Unit cell a=5.295 b=5.750 c=5.295 alpha=90.00 beta=90.00 gamma=90.00
Atoms (fractional coordinates):
F (0.500, 0.500, 0.500)
Zr (0.500, 0.000, 0.000)
Y (0.000, 0.000, 0.000)
Zr (0.000, 0.000, 0.500)
Pb (0.000, 0.500, 0.000)

Entry from Alexandria via LeMat-Bulk: LaBe2Tc after structural relaxation (GGA-PBE).

E above lowest polymorph in eV/atom: 0.619
DFT formation energy in eV per atom: 0.608
Electronic total energy in eV/atom: -5.078

Unit cell a=4.327 b=4.327 c=3.472 alpha=90.00 beta=90.00 gamma=90.00
Atoms (fractional coordinates):
Be (0.000, 0.000, 0.000)
Tc (0.000, 0.500, 0.500)
La (0.500, 0.000, 0.500)
Be (0.500, 0.500, 0.000)

Entry from Alexandria via LeMat-Bulk: Pr2Dy6HoTm3 after structural relaxation (GGA-PBE).

DFT formation energy in eV per atom: 0.021
Electronic total energy in eV/atom: -4.576

Unit cell a=6.157 b=6.157 c=11.780 alpha=94.99 beta=94.99 gamma=119.96
Atoms (fractional coordinates):
Dy (0.582, 0.915, 0.745)
Dy (0.753, 0.753, 0.255)
Dy (0.085, 0.418, 0.255)
Pr (0.333, 0.667, 0.000)
Dy (0.418, 0.085, 0.255)
Pr (0.667, 0.333, 0.000)
Ho (0.000, 0.000, 0.000)
Tm (0.834, 0.166, 0.500)
Tm (0.500, 0.500, 0.500)
Dy (0.915, 0.582, 0.745)
Dy (0.247, 0.247, 0.745)
Tm (0.166, 0.834, 0.500)